*A*
Material: Sr2MnBr
Method: DFT, PBE-GGA
State: optimized geometry

The space group is Pmmm (No. 47) and the conventional cell measures 4.562, 4.588 and 6.645 Å, with angles of 90.00, 90.00 and 90.00 degrees. The asymmetric unit holds Sr at (0.000, 0.000, 0.000), Sr at (0.500, 0.500, 0.500), Mn at (0.000, 0.000, 0.500) and Br at (0.500, 0.500, 0.000).

For the volume, the calculation gives 139.1 Å³/f.u.


*B*
Material: Sr2MnBr
Method: DFT, PBE-GGA
State: optimized geometry

The space group is C2/m (No. 12) and the conventional cell measures 7.256, 4.180 and 9.245 Å, with angles of 90.00, 105.22 and 90.00 degrees. The asymmetric unit holds Sr at (0.248, 0.000, 0.240), Mn at (0.000, 0.500, 0.000) and Br at (0.000, 0.000, 0.500).

For the volume, the calculation gives 135.3 Å³/f.u.


Tell me which of them is the most stable. Sure, it is *B*.


*A*
Material: Sr2MnBr
Method: DFT, PBE-GGA
State: optimized geometry

The space group is Imm2 (No. 44) and the conventional cell measures 3.906, 4.071 and 17.530 Å, with angles of 90.00, 90.00 and 90.00 degrees. The asymmetric unit holds Sr at (0.000, 0.000, 0.000), Sr at (0.000, 0.500, 0.266), Mn at (0.000, 0.500, 0.862) and Br at (0.000, 0.000, 0.605).

For the volume, the calculation gives 139.4 Å³/f.u.


*B*
Material: Sr2MnBr
Method: DFT, PBE-GGA
State: optimized geometry

The space group is Amm2 (No. 38) and the conventional cell measures 5.198, 4.029 and 12.700 Å, with angles of 90.00, 90.00 and 90.00 degrees. The asymmetric unit holds Sr at (0.000, 0.000, 0.000), Sr at (0.500, 0.000, 0.272), Mn at (0.500, 0.000, 0.529) and Br at (0.000, 0.000, 0.740).

For the volume, the calculation gives 133.0 Å³/f.u.


*C*
Material: Sr2MnBr
Method: DFT, PBE-GGA
State: optimized geometry

The space group is Fm-3m (No. 225) and the conventional cell measures 8.182, 8.182 and 8.182 Å, with angles of 90.00, 90.00 and 90.00 degrees. The asymmetric unit holds Sr at (0.250, 0.250, 0.250), Mn at (0.000, 0.000, 0.000) and Br at (0.000, 0.000, 0.500).

For the volume, the calculation gives 136.9 Å³/f.u.


Tell me which of them is the most stable. Sure, it is *A*.


*A*
Material: SrMnBr2
Method: DFT, PBE-GGA
State: optimized geometry

The space group is Cm (No. 8) and the conventional cell measures 14.808, 3.838 and 5.158 Å, with angles of 90.00, 104.49 and 90.00 degrees. The asymmetric unit holds Sr at (0.000, 0.000, 0.000), Mn at (0.198, 0.500, 0.998), Br at (0.026, 0.500, 0.505) and Br at (0.323, 0.000, 0.861).

For the volume, the calculation gives 141.9 Å³/f.u.


*B*
Material: SrMnBr2
Method: DFT, PBE-GGA
State: optimized geometry

The space group is P4/mmm (No. 123) and the conventional cell measures 3.751, 3.751 and 10.628 Å, with angles of 90.00, 90.00 and 90.00 degrees. The asymmetric unit holds Sr at (0.000, 0.000, 0.000), Mn at (0.000, 0.000, 0.500) and Br at (0.500, 0.500, 0.166).

For the volume, the calculation gives 149.5 Å³/f.u.


*C*
Material: SrMnBr2
Method: DFT, PBE-GGA
State: optimized geometry

The space group is R-3m (No. 166, hexagonal axes) and the conventional cell measures 4.3800, 4.3800 and 32.8821 Å, with angles of 90.00, 90.00 and 120.00 degrees. The asymmetric unit holds Sr at (0.0000, 0.0000, 0.0000), Mn at (0.0000, 0.0000, 0.5000) and Br at (0.0000, 0.0000, 0.3848).

For the volume, the calculation gives 182.1 Å³/f.u.


Tell me which of them is the most stable. Sure, it is *C*.